The following is a DFT calculation (PBE) of crystalline ThCuTc at its relaxed geometry.

Lattice parameters (Å, degrees): 4.4602 4.4602 4.4602 60.00 60.00 60.00
Fractional coordinates of all 3 atoms:
Cu (0.0000, 0.0000, 0.0000)
Tc (0.2500, 0.2500, 0.2500)
Th (0.7500, 0.7500, 0.7500)

**Space group**: F-43m (216)
**Total magnetic moment**: 0.4 μB per cell
**Energy of formation**: 0.37 eV per atom

***

The following is a DFT calculation (PBE) of crystalline LuAg2B at its relaxed geometry.

Lattice parameters (Å, degrees): 4.5679 4.5679 4.5679 60.00 60.00 60.00
Fractional coordinates of all 4 atoms:
Ag (0.0000, 0.0000, 0.0000)
Ag (0.7500, 0.7500, 0.7500)
B (0.5000, 0.5000, 0.5000)
Lu (0.2500, 0.2500, 0.2500)

**Final energy**: -15.7 eV per cell
**Space group**: F-43m (216)
**Total magnetic moment**: 0.0 μB per cell

***

The following is a DFT calculation (PBE) of crystalline TlCoHgPd at its relaxed geometry.

Lattice parameters (Å, degrees): 4.6402 4.6402 4.6402 60.00 60.00 60.00
Each line ends with the local moment (μB).
Fractional coordinates of all 4 atoms:
Co (0.7500, 0.7500, 0.7500)  1.24
Hg (0.5000, 0.5000, 0.5000)  -0.02
Pd (0.2500, 0.2500, 0.2500)  0.04
Tl (0.0000, 0.0000, 0.0000)  -0.03

**Space group**: F-43m (216)
**Total magnetic moment**: 1.2 μB per cell
**Excess energy over the best structure of this formula in the dataset**: 0 meV/atom

***

The following is a DFT calculation (PBE) of crystalline Tm3P2S at its relaxed geometry.

Lattice parameters (Å, degrees): 3.9181 3.9181 9.5835 90.00 90.00 120.00
Fractional coordinates of all 6 atoms:
P (0.3333, 0.6667, 0.3313)
P (0.6667, 0.3333, 0.6687)
S (0.0000, 0.0000, 0.0000)
Tm (0.6667, 0.3333, 0.1749)
Tm (0.0000, 0.0000, 0.5000)
Tm (0.3333, 0.6667, 0.8251)

**Space group**: P-3m1 (164)
**Total magnetic moment**: 0.0 μB per cell
**Excess energy over the best structure of this formula in the dataset**: 13 meV/atom

***

The following is a DFT calculation (PBE) of crystalline ZnIr17 at its relaxed geometry.

Lattice parameters (Å, degrees): 5.4442 5.4442 33.0514 90.00 90.00 120.00
Fractional coordinates of all 36 atoms:
Ir (0.1665, 0.3330, 0.2307)
Ir (0.1665, 0.8335, 0.2307)
Ir (0.6670, 0.8335, 0.2307)
Ir (0.0000, 0.0000, 0.2962)
Ir (0.5008, 0.0017, 0.2969)
Ir (0.5008, 0.4992, 0.2969)
Ir (0.9983, 0.4992, 0.2969)
Ir (0.3336, 0.1668, 0.3642)
Ir (0.8332, 0.1668, 0.3642)
Ir (0.8332, 0.6664, 0.3642)
Ir (0.3333, 0.6667, 0.3649)
Ir (0.1667, 0.3335, 0.4321)
Ir (0.1667, 0.8333, 0.4321)
Ir (0.6665, 0.8333, 0.4321)
Ir (0.6667, 0.3333, 0.4324)
Ir (0.0000, 0.0000, 0.5000)
Ir (0.5000, 0.0000, 0.5000)
Ir (0.0000, 0.5000, 0.5000)
Ir (0.5000, 0.5000, 0.5000)
Ir (0.3333, 0.6667, 0.5676)
Ir (0.3335, 0.1667, 0.5679)
Ir (0.8333, 0.1667, 0.5679)
Ir (0.8333, 0.6665, 0.5679)
Ir (0.6667, 0.3333, 0.6351)
Ir (0.1668, 0.3336, 0.6358)
Ir (0.1668, 0.8332, 0.6358)
Ir (0.6664, 0.8332, 0.6358)
Ir (0.0017, 0.5008, 0.7031)
Ir (0.4992, 0.5008, 0.7031)
Ir (0.4992, 0.9983, 0.7031)
Ir (0.0000, 0.0000, 0.7038)
Ir (0.3330, 0.1665, 0.7693)
Ir (0.8335, 0.1665, 0.7693)
Ir (0.8335, 0.6670, 0.7693)
Zn (0.6667, 0.3333, 0.2218)
Zn (0.3333, 0.6667, 0.7782)

**Space group**: P-3m1 (164)
**Total magnetic moment**: 0.0 μB per cell
**Excess energy over the best structure of this formula in the dataset**: 14 meV/atom
**Energy of formation**: 0.17 eV per atom

***

The following is a DFT calculation (PBE) of crystalline TePt9 at its relaxed geometry.

Lattice parameters (Å, degrees): 2.8714 2.8714 48.6733 90.00 90.00 90.00
Fractional coordinates of all 20 atoms:
Pt (0.5000, 0.0000, 0.1636)
Pt (0.0000, 0.5000, 0.2042)
Pt (0.5000, 0.0000, 0.2436)
Pt (0.0000, 0.5000, 0.2827)
Pt (0.5000, 0.0000, 0.3219)
Pt (0.0000, 0.5000, 0.3614)
Pt (0.5000, 0.0000, 0.4010)
Pt (0.0000, 0.5000, 0.4406)
Pt (0.5000, 0.0000, 0.4802)
Pt (0.0000, 0.5000, 0.5198)
Pt (0.5000, 0.0000, 0.5594)
Pt (0.0000, 0.5000, 0.5990)
Pt (0.5000, 0.0000, 0.6386)
Pt (0.0000, 0.5000, 0.6781)
Pt (0.5000, 0.0000, 0.7173)
Pt (0.0000, 0.5000, 0.7564)
Pt (0.5000, 0.0000, 0.7958)
Pt (0.0000, 0.5000, 0.8364)
Te (0.0000, 0.5000, 0.1199)
Te (0.5000, 0.0000, 0.8801)

**Space group**: P4/nmm (129)
**Total magnetic moment**: 0.1 μB per cell
**Excess energy over the best structure of this formula in the dataset**: 59 meV/atom

***

The following is a DFT calculation (PBE) of crystalline CdSnTeO at its relaxed geometry.

Lattice parameters (Å, degrees): 4.5559 4.5559 9.7276 90.00 90.00 90.00
Fractional coordinates of all 8 atoms:
Cd (0.7500, 0.7500, 0.1886)
Cd (0.2500, 0.2500, 0.8114)
O (0.2500, 0.2500, 0.0284)
O (0.7500, 0.7500, 0.9716)
Sn (0.2500, 0.2500, 0.2274)
Sn (0.7500, 0.7500, 0.7726)
Te (0.7500, 0.2500, 0.5000)
Te (0.2500, 0.7500, 0.5000)

**Space group**: P4/nmm (129)
**Excess energy over the best structure of this formula in the dataset**: 633 meV/atom

***

The following is a DFT calculation (PBE) of crystalline KGa2Pt2 at its relaxed geometry.

Lattice parameters (Å, degrees): 4.2070 4.2070 6.4367 109.07 109.07 90.00
Fractional coordinates of all 5 atoms:
Ga (0.6246, 0.6246, 0.2491)
Ga (0.3754, 0.3754, 0.7509)
K (0.0000, 0.0000, 0.0000)
Pt (0.7500, 0.2500, 0.5000)
Pt (0.2500, 0.7500, 0.5000)

**Space group**: I4/mmm (139)
**Total magnetic moment**: 0.0 μB per cell
**Excess energy over the best structure of this formula in the dataset**: 54 meV/atom

***

The following is a DFT calculation (PBE) of crystalline RbMgNiAs at its relaxed geometry.

Lattice parameters (Å, degrees): 4.8810 4.8810 4.8810 60.00 60.00 60.00
Fractional coordinates of all 4 atoms:
As (0.5000, 0.5000, 0.5000)
Mg (0.7500, 0.7500, 0.7500)
Ni (0.2500, 0.2500, 0.2500)
Rb (0.0000, 0.0000, 0.0000)

**Space group**: F-43m (216)
**Total magnetic moment**: 0.0 μB per cell
**Excess energy over the best structure of this formula in the dataset**: 0 meV/atom

***

The following is a DFT calculation (PBE) of crystalline Sc2AlCoNi at its relaxed geometry.

Lattice parameters (Å, degrees): 5.0331 5.0331 5.0331 132.82 81.84 117.53
Fractional coordinates of all 5 atoms:
Al (0.9954, 0.9954, 0.0000)
Co (0.7282, 0.2282, 0.5000)
Ni (0.2702, 0.7702, 0.5000)
Sc (0.7066, 0.5031, 0.2035)
Sc (0.2997, 0.5031, 0.7965)

**Final energy**: -31.8 eV per cell
**Space group**: Imm2 (44)
**Total magnetic moment**: 0.0 μB per cell

***

The following is a DFT calculation (PBE) of crystalline Ag2P at its relaxed geometry.

Lattice parameters (Å, degrees): 5.4381 5.4381 5.4381 60.00 60.00 60.00
Fractional coordinates of all 6 atoms:
Ag (0.6250, 0.6250, 0.1250)
Ag (0.6250, 0.1250, 0.6250)
Ag (0.1250, 0.6250, 0.6250)
Ag (0.6250, 0.6250, 0.6250)
P (0.0000, 0.0000, 0.0000)
P (0.2500, 0.2500, 0.2500)

**Space group**: Fd-3m (227)
**Excess energy over the best structure of this formula in the dataset**: 362 meV/atom

***

The following is a DFT calculation (PBE) of crystalline Er2Pt2O5 at its relaxed geometry.

Lattice parameters (Å, degrees): 8.9362 3.7244 3.7244 90.00 90.00 90.00
Each line ends with the local moment (μB).
Fractional coordinates of all 9 atoms:
Er (0.2605, 0.5000, 0.5000)  0.01
Er (0.7395, 0.5000, 0.5000)  0.01
O (0.1349, 0.5000, 0.0000)  0.01
O (0.8651, 0.5000, 0.0000)  0.01
O (0.1349, 0.0000, 0.5000)  0.01
O (0.8651, 0.0000, 0.5000)  0.01
O (0.5000, 0.5000, 0.5000)  0.00
Pt (0.0000, 0.0000, 0.0000)  0.11
Pt (0.5000, 0.0000, 0.0000)  0.00

**Space group**: P4/mmm (123)
**Total magnetic moment**: 0.1 μB per cell
**Excess energy over the best structure of this formula in the dataset**: 9 meV/atom

***

The following is a DFT calculation (PBE) of crystalline Pm2S at its relaxed geometry.

Lattice parameters (Å, degrees): 4.7984 4.7984 4.7984 60.00 60.00 60.00
Each line ends with the local moment (μB).
Fractional coordinates of all 3 atoms:
Pm (0.2500, 0.2500, 0.2500)  0.12
Pm (0.7500, 0.7500, 0.7500)  0.12
S (0.0000, 0.0000, 0.0000)  0.01

**Space group**: Fm-3m (225)
**Total magnetic moment**: 0.4 μB per cell
**Excess energy over the best structure of this formula in the dataset**: 317 meV/atom

***

The following is a DFT calculation (PBE) of crystalline HfMgAlNi at its relaxed geometry.

Lattice parameters (Å, degrees): 4.5246 4.5246 4.5246 60.00 60.00 60.00
Fractional coordinates of all 4 atoms:
Al (0.0000, 0.0000, 0.0000)
Hf (0.2500, 0.2500, 0.2500)
Mg (0.5000, 0.5000, 0.5000)
Ni (0.7500, 0.7500, 0.7500)

**Space group**: F-43m (216)
**Total magnetic moment**: 0.6 μB per cell
**Excess energy over the best structure of this formula in the dataset**: 183 meV/atom

***

The following is a DFT calculation (PBE) of crystalline ErPSe3S at its relaxed geometry.

Lattice parameters (Å, degrees): 6.6229 6.8923 7.8621 87.82 87.33 83.02
Fractional coordinates of all 12 atoms:
Er (0.2036, 0.7073, 0.0586)
Er (0.7964, 0.2927, 0.9414)
P (0.6847, 0.7430, 0.1825)
P (0.3153, 0.2570, 0.8175)
S (0.4250, 0.7642, 0.3282)
S (0.5750, 0.2358, 0.6718)
Se (0.3854, 0.2798, 0.0918)
Se (0.8764, 0.9850, 0.2161)
Se (0.9110, 0.4831, 0.2443)
Se (0.0890, 0.5169, 0.7557)
Se (0.1236, 0.0150, 0.7839)
Se (0.6146, 0.7202, 0.9082)

**Space group**: P-1 (2)
**Total magnetic moment**: 0.0 μB per cell
**Excess energy over the best structure of this formula in the dataset**: 5 meV/atom

***

The following is a DFT calculation (PBE) of crystalline LaGdU at its relaxed geometry.

Lattice parameters (Å, degrees): 5.1302 5.1302 5.1302 60.00 60.00 60.00
Fractional coordinates of all 3 atoms:
Gd (0.2500, 0.2500, 0.2500)
La (0.0000, 0.0000, 0.0000)
U (0.7500, 0.7500, 0.7500)

**Space group**: F-43m (216)
**Total magnetic moment**: 4.2 μB per cell
**Excess energy over the best structure of this formula in the dataset**: 0 meV/atom
**Energy of formation**: 1.18 eV per atom

***

The following is a DFT calculation (PBE) of crystalline Tb2Hf2O5 at its relaxed geometry.

Lattice parameters (Å, degrees): 10.0316 3.5902 3.5902 90.00 90.00 90.00
Fractional coordinates of all 9 atoms:
Hf (0.0000, 0.0000, 0.0000)
Hf (0.5000, 0.0000, 0.0000)
O (0.1246, 0.5000, 0.0000)
O (0.8754, 0.5000, 0.0000)
O (0.1246, 0.0000, 0.5000)
O (0.8754, 0.0000, 0.5000)
O (0.5000, 0.5000, 0.5000)
Tb (0.2483, 0.5000, 0.5000)
Tb (0.7517, 0.5000, 0.5000)

**Space group**: P4/mmm (123)
**Total magnetic moment**: 0.0 μB per cell
**Excess energy over the best structure of this formula in the dataset**: 55 meV/atom

***

The following is a DFT calculation (PBE) of crystalline TmHfAl2Pd4 at its relaxed geometry.

Lattice parameters (Å, degrees): 4.3095 4.3095 8.7972 90.00 90.00 120.00
Fractional coordinates of all 8 atoms:
Al (0.3333, 0.6667, 0.2411)
Al (0.3333, 0.6667, 0.7589)
Hf (0.0000, 0.0000, 0.0000)
Pd (0.6667, 0.3333, 0.1578)
Pd (0.0000, 0.0000, 0.3259)
Pd (0.0000, 0.0000, 0.6741)
Pd (0.6667, 0.3333, 0.8422)
Tm (0.6667, 0.3333, 0.5000)

**Final energy**: -49.7 eV per cell
**Space group**: P-6m2 (187)
**Total magnetic moment**: 0.0 μB per cell

***

The following is a DFT calculation (PBE) of crystalline CsGdCuTe3 at its relaxed geometry.

Lattice parameters (Å, degrees): 8.9532 8.9532 11.4837 90.00 90.00 152.48
Fractional coordinates of all 12 atoms:
Cs (0.7581, 0.2419, 0.2500)
Cs (0.2419, 0.7581, 0.7500)
Cu (0.0349, 0.9651, 0.2500)
Cu (0.9651, 0.0349, 0.7500)
Gd (0.5000, 0.5000, 0.0000)
Gd (0.5000, 0.5000, 0.5000)
Te (0.1218, 0.8782, 0.0633)
Te (0.4413, 0.5587, 0.2500)
Te (0.1218, 0.8782, 0.4367)
Te (0.8782, 0.1218, 0.5633)
Te (0.5587, 0.4413, 0.7500)
Te (0.8782, 0.1218, 0.9367)

**Final energy**: -48.5 eV per cell
**Space group**: Cmcm (63)
**Total magnetic moment**: 0.0 μB per cell

***

The following is a DFT calculation (PBE) of crystalline KTaNO at its relaxed geometry.

Lattice parameters (Å, degrees): 3.7576 6.1693 6.3536 90.00 90.00 90.00
Fractional coordinates of all 8 atoms:
K (0.5000, 0.0006, 0.2031)
K (0.5000, 0.5006, 0.7969)
N (0.0000, 0.7558, 0.4933)
N (0.0000, 0.2558, 0.5067)
O (0.5000, 0.4972, 0.2206)
O (0.5000, 0.9972, 0.7795)
Ta (0.0000, 0.5005, 0.3209)
Ta (0.0000, 0.0005, 0.6791)

**Space group**: Pmc2_1 (26)
**Total magnetic moment**: 1.7 μB per cell
**Excess energy over the best structure of this formula in the dataset**: 0 meV/atom